[1]
RbBeSbF6 | PBE-GGA | optimized geometry

abc: 5.4504 5.4504 6.0237
angles: 90.00 90.00 120.00
Last column: nearest neighbours and their distance in Å.
Space group P312 (No. 149)
Symmetry-distinct sites (fractional):
Rb 0.0000 0.0000 0.0000 (multiplicity 1)  6 F 2.86
Be 0.6667 0.3333 0.5000 (multiplicity 1)  6 F 1.80
Sb 0.3333 0.6667 0.5000 (multiplicity 1)  6 F 2.22
F 0.4069 0.0557 0.3258 (multiplicity 6)  1 Be 1.80

Output
DOS(E_F) = 0.000 states/eV/atom

---

[2]
RbScBe2F8 | PBE-GGA | optimized geometry

abc: 8.5574 5.3822 8.2610
angles: 90.00 94.89 90.00
Last column: nearest neighbours and their distance in Å.
Space group C2/m (No. 12)
Symmetry-distinct sites (fractional):
Rb 0.0000 0.0000 0.0000 (multiplicity 2)  10 F 3.00-3.21
Sc 0.0000 0.0000 0.5000 (multiplicity 2)  6 F 2.01-2.04
Be 0.1302 0.5000 0.2886 (multiplicity 4)  4 F 1.49-1.60
F 0.0285 0.2614 0.3259 (multiplicity 8)  1 Be 1.60
F 0.1789 0.5000 0.1195 (multiplicity 4)  1 Be 1.49
F 0.2300 0.0000 0.5726 (multiplicity 4)  1 Be 1.58

Output
DOS(E_F) = 0.000 states/eV/atom

---

[3]
Rb2ScBeF6 | PBE-GGA | optimized geometry

abc: 5.8893 5.8893 7.9945
angles: 90.00 90.00 90.00
Last column: nearest neighbours and their distance in Å.
Space group I4/mmm (No. 139)
Symmetry-distinct sites (fractional):
Rb 0.0000 0.5000 0.2500 (multiplicity 4)  12 F 2.89-2.96
Sc 0.0000 0.0000 0.0000 (multiplicity 2)  6 F 2.19-2.34
Be 0.0000 0.0000 0.5000 (multiplicity 2)  2 F 1.65
F 0.0000 0.0000 0.2931 (multiplicity 4)  1 Be 1.65
F 0.2376 0.2376 0.5000 (multiplicity 8)  1 Be 1.98, 1 Sc 2.19

Output
DOS(E_F) = 2.138 states/eV/atom

---

[4]
Rb2BeSeF6 | PBE-GGA | optimized geometry

abc: 6.1798 6.1798 8.5794
angles: 90.00 90.00 90.00
Last column: nearest neighbours and their distance in Å.
Space group I4/mmm (No. 139)
Symmetry-distinct sites (fractional):
Rb 0.0000 0.5000 0.2500 (multiplicity 4)  12 F 3.10
Be 0.0000 0.0000 0.0000 (multiplicity 2)  4 F 1.67
Se 0.0000 0.0000 0.5000 (multiplicity 2)  2 F 1.93
F 0.0000 0.0000 0.2752 (multiplicity 4)  1 Se 1.93
F 0.1916 0.1916 0.0000 (multiplicity 8)  1 Be 1.67

Output
DOS(E_F) = 0.000 states/eV/atom

---

[5]
Rb2BeSnF6 | PBE-GGA | optimized geometry

abc: 8.4832 8.4832 8.4832
angles: 90.00 90.00 90.00
Last column: nearest neighbours and their distance in Å.
Space group Fm-3m (No. 225)
Symmetry-distinct sites (fractional):
Rb 0.2500 0.2500 0.2500 (multiplicity 8)  12 F 3.01
Be 0.0000 0.0000 0.0000 (multiplicity 4)  6 F 1.83
Sn 0.0000 0.0000 0.5000 (multiplicity 4)  6 F 2.41
F 0.0000 0.0000 0.2158 (multiplicity 24)  1 Be 1.83

Output
DOS(E_F) = 0.000 states/eV/atom

---

[6]
Rb2BeSnF6 | PBE-GGA | optimized geometry

abc: 5.7264 6.3860 6.4799
angles: 109.59 106.90 108.85
Last column: nearest neighbours and their distance in Å.
Space group P1 (No. 1)
Symmetry-distinct sites (fractional):
Rb 0.0000 0.0000 0.0000 (multiplicity 1)  5 F 2.73-3.01
Rb 0.0744 0.4841 0.6059 (multiplicity 1)  6 F 2.78-3.02
Be 0.6121 0.2572 0.9269 (multiplicity 1)  4 F 1.56-1.60
Sn 0.4938 0.7865 0.3035 (multiplicity 1)  2 F 2.07-2.08
F 0.4581 0.4231 0.9618 (multiplicity 1)  1 Be 1.58
F 0.4658 0.0149 0.9464 (multiplicity 1)  1 Be 1.57
F 0.5841 0.6231 0.5240 (multiplicity 1)  1 Sn 2.08
F 0.6226 0.1641 0.6686 (multiplicity 1)  1 Be 1.60
F 0.9090 0.9685 0.3945 (multiplicity 1)  1 Sn 2.07
F 0.9182 0.4143 0.1295 (multiplicity 1)  1 Be 1.56

Output
DOS(E_F) = 0.000 states/eV/atom

---

[7]
RbSrBe2F8 | PBE-GGA | optimized geometry

abc: 5.3765 5.3765 22.6695
angles: 90.00 90.00 120.00
Last column: nearest neighbours and their distance in Å.
Space group R-3 (No. 148, hexagonal axes)
Symmetry-distinct sites (fractional):
Rb 0.0000 0.0000 0.0000 (multiplicity 3)  12 F 3.05-3.12
Sr 0.0000 0.0000 0.5000 (multiplicity 3)  6 F 2.46
Be 0.0000 0.0000 0.2501 (multiplicity 6)  4 F 1.56
F 0.0000 0.0000 0.3191 (multiplicity 6)  1 Be 1.56
F 0.0121 0.2807 0.7713 (multiplicity 18)  1 Be 1.56

Output
DOS(E_F) = 1.320 states/eV/atom

---

[8]
Rb2BeTeF6 | PBE-GGA | optimized geometry

abc: 6.2911 6.2911 8.7724
angles: 90.00 90.00 90.00
Last column: nearest neighbours and their distance in Å.
Space group I4/mmm (No. 139)
Symmetry-distinct sites (fractional):
Rb 0.0000 0.5000 0.2500 (multiplicity 4)  12 F 3.15-3.17
Be 0.0000 0.0000 0.0000 (multiplicity 2)  4 F 1.68
Te 0.0000 0.0000 0.5000 (multiplicity 2)  2 F 2.09
F 0.0000 0.0000 0.2621 (multiplicity 4)  1 Te 2.09, 1 Be 2.30
F 0.1892 0.1892 0.0000 (multiplicity 8)  1 Be 1.68

Output
DOS(E_F) = 0.000 states/eV/atom

---

Short version: formation energy from raw total energies = -2.624 -3.452 -2.917 -2.260 -2.639 -2.794 -3.078 -2.315 eV per atom, in the order given.